[1]
Here is a relaxed LiTiFe2Te crystal from Alexandria via LeMat-Bulk. Energies are from GGA-PBE.

a b c (Å): 4.6357 5.0156 4.6357
angles (deg): 90.00 90.00 90.00
Closest atoms and distances in Å follow each position.
Sites, in units of the cell vectors:
Te 0.0000 0.0000 0.0000  4 Fe 2.32, 2 Ti 2.51
Li 0.5000 0.5000 0.5000  4 Ti 3.28, 8 Fe 3.41
Fe 0.0000 0.0000 0.5000  2 Te 2.32
Fe 0.5000 0.0000 0.0000  2 Te 2.32
Ti 0.0000 0.5000 0.0000  2 Te 2.51

Calculated values
As for the symmetry: No. 123. As for the uncorrected formation energy: 0.975 eV/atom. For the final energy, the calculation gives -25.0 eV per formula unit.


[2]
Here is a relaxed MgGa4Ni6 crystal from Alexandria via LeMat-Bulk. Energies are from GGA-PBE.

a b c (Å): 6.2191 6.2191 6.2191
angles (deg): 85.03 122.91 122.91
Closest atoms and distances in Å follow each position.
Sites, in units of the cell vectors:
Mg 0.0000 0.0000 0.0000  4 Ga 2.96, 8 Ni 2.97
Ga 0.0000 0.0975 0.5253  4 Ni 2.32-2.56
Ga 0.5721 0.4747 0.4747  4 Ni 2.32-2.56
Ga 0.0000 0.5253 0.0975  4 Ni 2.32-2.56
Ga 0.4279 0.9025 0.9025  4 Ni 2.32-2.56
Ni 0.0000 0.7459 0.4267  4 Ga 2.32-2.56, 4 Ni 2.37-2.47
Ni 0.0000 0.4267 0.7459  4 Ga 2.32-2.56, 4 Ni 2.37-2.47
Ni 0.6808 0.2541 0.2541  4 Ga 2.32-2.56, 4 Ni 2.37-2.47
Ni 0.5000 0.0000 0.5000  4 Ni 2.37
Ni 0.3192 0.5733 0.5733  4 Ga 2.32-2.56, 4 Ni 2.37-2.47
Ni 0.5000 0.5000 0.0000  4 Ni 2.37

Calculated values
For the energy of formation from the pure elements, the calculation gives -1.1 eV per formula unit. As for the symmetry: No. 121. For the final energy, the calculation gives -49.5 eV per formula unit.


[3]
Here is a relaxed Tb4Cd3Ag2 crystal from Alexandria via LeMat-Bulk. Energies are from GGA-PBE.

a b c (Å): 5.1278 5.1278 9.8583
angles (deg): 90.00 90.00 60.00
Closest atoms and distances in Å follow each position.
Sites, in units of the cell vectors:
Tb 0.6667 0.6666 0.8816  4 Ag 3.05, 3 Cd 3.18
Tb 0.0000 0.0001 0.3314  7 Cd 3.27-3.43, 3 Ag 3.27, 4 Tb 3.32-3.63
Tb 0.0000 0.9999 0.6686  7 Cd 3.27-3.43, 3 Ag 3.27, 4 Tb 3.32-3.63
Tb 0.3333 0.3334 0.1184  4 Ag 3.05, 3 Cd 3.18
Cd 0.3333 0.3333 0.4930  3 Cd 2.96, 1 Ag 3.11
Cd 0.0000 0.0000 0.0000  8 Tb 3.18-3.27, 6 Ag 3.51
Cd 0.6667 0.6667 0.5070  3 Cd 2.96, 1 Ag 3.11
Ag 0.3334 0.3332 0.8089  7 Tb 3.05-3.27, 1 Cd 3.11
Ag 0.6666 0.6668 0.1911  7 Tb 3.05-3.27, 1 Cd 3.11

Calculated values
For the energy of formation from the pure elements, the calculation gives -2.5 eV per formula unit. As for the symmetry: No. 164. For the final energy, the calculation gives -29.5 eV per formula unit.


[4]
Here is a relaxed Be2MoAsRu crystal from Alexandria via LeMat-Bulk. Energies are from GGA-PBE.

a b c (Å): 4.0049 4.8024 4.0049
angles (deg): 90.00 90.00 90.00
Closest atoms and distances in Å follow each position.
Sites, in units of the cell vectors:
Ru 0.5000 0.5000 0.5000  4 Mo 2.83, 8 Be 3.13
Mo 0.0000 0.5000 0.0000  2 As 2.40
As 0.0000 0.0000 0.0000  4 Be 2.00
Be 0.0000 0.0000 0.5000  2 As 2.00
Be 0.5000 0.0000 0.0000  2 As 2.00

Calculated values
For the energy of formation from the pure elements, the calculation gives 5.5 eV per formula unit. As for the symmetry: No. 123. For the final energy, the calculation gives -26.7 eV per formula unit.


[5]
Here is a relaxed Ac2VAs crystal from Alexandria via LeMat-Bulk. Energies are from GGA-PBE.

a b c (Å): 4.0340 5.3880 5.3880
angles (deg): 90.00 90.00 90.00
Closest atoms and distances in Å follow each position.
Sites, in units of the cell vectors:
Ac 0.0000 0.0000 0.5000  4 As 3.37, 4 V 3.37
Ac 0.0000 0.5000 0.0000  4 As 3.37, 4 V 3.37
As 0.5000 0.5000 0.5000  8 Ac 3.37
V 0.5000 0.0000 0.0000  8 Ac 3.37

Calculated values
For the energy of formation from the pure elements, the calculation gives -0.6 eV per formula unit. As for the symmetry: No. 123. Its distance to the lowest polymorph of the same formula is 0.0 meV per atom. For the final energy, the calculation gives -22.6 eV per formula unit.


[6]
Here is a relaxed Y8Ag2Pd crystal from Alexandria via LeMat-Bulk. Energies are from GGA-PBE.

a b c (Å): 6.0106 9.1217 9.1217
angles (deg): 132.29 102.06 102.06
Closest atoms and distances in Å follow each position.
Sites, in units of the cell vectors:
Y 0.6449 0.4012 0.1623  1 Pd 2.81, 2 Ag 2.96-3.08
Y 0.6449 0.1623 0.4012  1 Pd 2.81, 2 Ag 2.96-3.08
Y 0.1083 0.2684 0.2684  1 Pd 2.74
Y 0.9798 0.2000 0.8100  4 Ag 3.26-3.40, 3 Y 3.60-3.65
Y 0.9798 0.8100 0.2000  4 Ag 3.26-3.40, 3 Y 3.60-3.65
Y 0.7762 0.7257 0.7257  1 Pd 2.78
Y 0.2985 0.8376 0.6070  1 Pd 2.83, 2 Ag 3.01-3.17
Y 0.2985 0.6070 0.8376  1 Pd 2.83, 2 Ag 3.01-3.17
Ag 0.4796 0.7350 0.2783  6 Y 2.96-3.27
Ag 0.4796 0.2783 0.7350  6 Y 2.96-3.27
Pd 0.3095 0.0085 0.0085  6 Y 2.74-2.83

Calculated values
For the energy of formation from the pure elements, the calculation gives -2.1 eV per formula unit. As for the symmetry: No. 8. Its distance to the lowest polymorph of the same formula is 56.9 meV per atom. For the final energy, the calculation gives -64.7 eV per formula unit.


[7]
Here is a relaxed Mn3BAs crystal from Alexandria via LeMat-Bulk. Energies are from GGA-PBE.

a b c (Å): 3.8512 3.8512 3.8512
angles (deg): 90.00 90.00 90.00
Closest atoms and distances in Å follow each position.
Sites, in units of the cell vectors:
As 0.5000 0.5000 0.5000  12 Mn 2.72
Mn 0.0000 0.5000 0.0000  2 B 1.93
Mn 0.0000 0.0000 0.5000  2 B 1.93
Mn 0.5000 0.0000 0.0000  2 B 1.93
B 0.0000 0.0000 0.0000  6 Mn 1.93

Calculated values
For the energy of formation from the pure elements, the calculation gives 0.7 eV per formula unit. As for the symmetry: No. 221. Its distance to the lowest polymorph of the same formula is 0.0 meV per atom. For the final energy, the calculation gives -38.2 eV per formula unit.


[8]
Here is a relaxed VZnAsSe2 crystal from Alexandria via LeMat-Bulk. Energies are from GGA-PBE.

a b c (Å): 4.7798 4.7798 4.8795
angles (deg): 90.00 90.00 90.00
Closest atoms and distances in Å follow each position.
Sites, in units of the cell vectors:
As 0.0000 0.0000 0.5000  2 V 2.44
Zn 0.5000 0.5000 0.5000  4 As 3.38, 8 Se 3.42
Se 0.0000 0.5000 0.0000  2 V 2.39
Se 0.5000 0.0000 0.0000  2 V 2.39
V 0.0000 0.0000 0.0000  4 Se 2.39, 2 As 2.44

Calculated values
As for the symmetry: No. 123. As for the uncorrected formation energy: 0.128 eV/atom. Its distance to the lowest polymorph of the same formula is 0.0 meV per atom. For the final energy, the calculation gives -21.4 eV per formula unit.